[1]
The following is a PBE-GGA calculation of crystalline Tl2FeBr at its relaxed geometry, from Alexandria via LeMat-Bulk.

Cell: 8.5531 8.5531 8.5531 Å, 25.39 25.39 25.39°
Fractional positions:
Tl: 0.2378 0.2378 0.2378
Tl: 0.7622 0.7622 0.7622
Fe: 0.5000 0.5000 0.5000
Br: 0.0000 0.0000 0.0000

## Properties
Its space group is R-3m (166). The calculation puts the energy at -13.6 eV/cell. The energy above the most stable polymorph in this dataset comes out at 76 kJ/mol of formula units.

[2]
The following is a PBE-GGA calculation of crystalline Tl2FeBr at its relaxed geometry, from Alexandria via LeMat-Bulk.

Cell: 6.3495 6.3495 6.3495 Å, 149.58 126.28 63.00°
Fractional positions:
Tl: 0.0000 0.0000 0.0000
Tl: 0.7063 0.2063 0.5000
Fe: 0.4842 0.4842 0.0000
Br: 0.3100 0.8100 0.5000

## Properties
Its space group is Imm2 (44). The calculation puts the energy at -14.0 eV/cell. The energy above the most stable polymorph in this dataset comes out at 34 kJ/mol of formula units.

[3]
The following is a PBE-GGA calculation of crystalline Tl2FeBr at its relaxed geometry, from Alexandria via LeMat-Bulk.

Cell: 7.8281 7.8281 4.4260 Å, 106.35 106.35 23.80°
Fractional positions:
Tl: 0.1768 0.1768 0.1767
Tl: 0.8232 0.8232 0.8233
Fe: 0.5000 0.5000 0.0000
Br: 0.0000 0.0000 0.5000

## Properties
Its space group is C2/m (12). The calculation puts the energy at -13.7 eV/cell. The energy above the most stable polymorph in this dataset comes out at 68 kJ/mol of formula units.

[4]
The following is a PBE-GGA calculation of crystalline TlFe2Br at its relaxed geometry, from Alexandria via LeMat-Bulk.

Cell: 5.5387 5.5387 3.3314 Å, 107.10 107.10 113.03°
Fractional positions:
Tl: 0.0000 0.0000 0.0000
Fe: 0.0000 0.5000 0.0000
Fe: 0.5000 0.0000 0.0000
Br: 0.5000 0.5000 0.0000

## Properties
Its space group is C2/m (12). The calculation puts the energy at -18.0 eV/cell. The energy above the most stable polymorph in this dataset comes out at 177 kJ/mol of formula units.

[5]
The following is a PBE-GGA calculation of crystalline Tl3Fe5Br12 at its relaxed geometry, from Alexandria via LeMat-Bulk.

Cell: 14.6515 14.6515 14.6515 Å, 109.47 109.47 109.47°
Fractional positions:
Tl: 0.1250 0.2500 0.3750
Tl: 0.1250 0.3750 0.7500
Tl: 0.2500 0.3750 0.1250
Tl: 0.2500 0.8750 0.6250
Tl: 0.3750 0.1250 0.2500
Tl: 0.3750 0.7500 0.1250
Tl: 0.6250 0.2500 0.8750
Tl: 0.6250 0.8750 0.7500
Tl: 0.7500 0.1250 0.3750
Tl: 0.7500 0.6250 0.8750
Tl: 0.8750 0.6250 0.2500
Tl: 0.8750 0.7500 0.6250
Fe: 0.0000 0.0000 0.0000
Fe: 0.0000 0.0000 0.5000
Fe: 0.0000 0.5000 0.0000
Fe: 0.0000 0.5000 0.5000
Fe: 0.1250 0.7500 0.8750
Fe: 0.1250 0.8750 0.2500
Fe: 0.2500 0.1250 0.8750
Fe: 0.2500 0.6250 0.3750
Fe: 0.3750 0.2500 0.6250
Fe: 0.3750 0.6250 0.7500
Fe: 0.5000 0.0000 0.0000
Fe: 0.5000 0.0000 0.5000
Fe: 0.5000 0.5000 0.0000
Fe: 0.5000 0.5000 0.5000
Fe: 0.6250 0.3750 0.2500
Fe: 0.6250 0.7500 0.3750
Fe: 0.7500 0.3750 0.6250
Fe: 0.7500 0.8750 0.1250
Fe: 0.8750 0.1250 0.7500
Fe: 0.8750 0.2500 0.1250
Br: 0.0133 0.1947 0.1094
Br: 0.0133 0.3186 0.9040
Br: 0.0854 0.6947 0.6814
Br: 0.0854 0.8906 0.4040
Br: 0.0960 0.6094 0.4146
Br: 0.0960 0.9867 0.6814
Br: 0.1094 0.0133 0.1947
Br: 0.1094 0.5960 0.9146
Br: 0.1814 0.1947 0.5854
Br: 0.1814 0.4867 0.5960
Br: 0.1947 0.1094 0.0133
Br: 0.1947 0.5854 0.1814
Br: 0.3053 0.3186 0.9146
Br: 0.3053 0.4867 0.3906
Br: 0.3186 0.9040 0.0133
Br: 0.3186 0.9146 0.3053
Br: 0.3906 0.3053 0.4867
Br: 0.3906 0.5854 0.9040
Br: 0.4040 0.0854 0.8906
Br: 0.4040 0.8186 0.5133
Br: 0.4146 0.0960 0.6094
Br: 0.4146 0.8186 0.8053
Br: 0.4867 0.3906 0.3053
Br: 0.4867 0.5960 0.1814
Br: 0.5133 0.4040 0.8186
Br: 0.5133 0.6094 0.6947
Br: 0.5854 0.1814 0.1947
Br: 0.5854 0.9040 0.3906
Br: 0.5960 0.1814 0.4867
Br: 0.5960 0.9146 0.1094
Br: 0.6094 0.4146 0.0960
Br: 0.6094 0.6947 0.5133
Br: 0.6814 0.0854 0.6947
Br: 0.6814 0.0960 0.9867
Br: 0.6947 0.5133 0.6094
Br: 0.6947 0.6814 0.0854
Br: 0.8053 0.4146 0.8186
Br: 0.8053 0.8906 0.9867
Br: 0.8186 0.5133 0.4040
Br: 0.8186 0.8053 0.4146
Br: 0.8906 0.4040 0.0854
Br: 0.8906 0.9867 0.8053
Br: 0.9040 0.0133 0.3186
Br: 0.9040 0.3906 0.5854
Br: 0.9146 0.1094 0.5960
Br: 0.9146 0.3053 0.3186
Br: 0.9867 0.6814 0.0960
Br: 0.9867 0.8053 0.8906

## Properties
Its space group is Ia-3d (230). The calculation puts the energy at -314.9 eV/cell.

[6]
The following is a PBE-GGA calculation of crystalline TlFeBr3 at its relaxed geometry, from Alexandria via LeMat-Bulk.

Cell: 12.8568 12.8568 6.2068 Å, 90.00 90.00 120.00°
Fractional positions:
Tl: 0.0000 0.3390 0.0000
Tl: 0.0000 0.6610 0.5000
Tl: 0.3390 0.0000 0.0000
Tl: 0.3390 0.3390 0.5000
Tl: 0.6610 0.0000 0.5000
Tl: 0.6610 0.6610 0.0000
Fe: 0.0000 0.0000 0.3384
Fe: 0.0000 0.0000 0.8384
Fe: 0.3333 0.6667 0.1957
Fe: 0.3333 0.6667 0.6957
Fe: 0.6667 0.3333 0.1957
Fe: 0.6667 0.3333 0.6957
Br: 0.0000 0.1639 0.5937
Br: 0.0000 0.8361 0.0937
Br: 0.1639 0.0000 0.5937
Br: 0.1639 0.1639 0.0937
Br: 0.1699 0.5015 0.4419
Br: 0.1699 0.6684 0.9419
Br: 0.3316 0.5015 0.9419
Br: 0.3316 0.8301 0.4419
Br: 0.4985 0.6684 0.4419
Br: 0.4985 0.8301 0.9419
Br: 0.5015 0.1699 0.4419
Br: 0.5015 0.3316 0.9419
Br: 0.6684 0.1699 0.9419
Br: 0.6684 0.4985 0.4419
Br: 0.8301 0.3316 0.4419
Br: 0.8301 0.4985 0.9419
Br: 0.8361 0.0000 0.0937
Br: 0.8361 0.8361 0.5937

## Properties
Its space group is P6_3cm (185). The calculation puts the energy at -112.4 eV/cell. The energy above the most stable polymorph in this dataset comes out at 15 kJ/mol of formula units.

[7]
The following is a PBE-GGA calculation of crystalline Tl2FeBr at its relaxed geometry, from Alexandria via LeMat-Bulk.

Cell: 3.5806 3.5914 7.7455 Å, 90.00 95.20 90.00°
Fractional positions:
Tl: 0.0327 0.0000 0.2064
Tl: 0.9673 0.0000 0.7936
Fe: 0.5000 0.5000 0.0000
Br: 0.5000 0.5000 0.5000

## Properties
Its space group is P2/m (10). The calculation puts the energy at -13.6 eV/cell. The energy above the most stable polymorph in this dataset comes out at 73 kJ/mol of formula units.

[8]
The following is a PBE-GGA calculation of crystalline Tl3Fe2Br8 at its relaxed geometry, from Alexandria via LeMat-Bulk.

Cell: 8.4807 8.4807 8.1129 Å, 108.10 108.10 66.74°
Fractional positions:
Tl: 0.0000 0.0000 0.0000
Tl: 0.2872 0.7128 0.5000
Tl: 0.7128 0.2872 0.5000
Fe: 0.3091 0.3091 0.8612
Fe: 0.6909 0.6909 0.1388
Br: 0.1236 0.1236 0.7169
Br: 0.1530 0.5792 0.7636
Br: 0.3442 0.3442 0.1721
Br: 0.4208 0.8470 0.2364
Br: 0.5792 0.1530 0.7636
Br: 0.6558 0.6558 0.8279
Br: 0.8470 0.4208 0.2364
Br: 0.8764 0.8764 0.2831

## Properties
Its space group is C2/m (12). The calculation puts the energy at -45.9 eV/cell.

[9]
The following is a PBE-GGA calculation of crystalline TlFe2Br at its relaxed geometry, from Alexandria via LeMat-Bulk.

Cell: 5.0494 5.0494 7.6377 Å, 126.20 126.20 37.17°
Fractional positions:
Tl: 0.0000 0.0000 0.0000
Fe: 0.1990 0.1990 0.8560
Fe: 0.8010 0.8010 0.1440
Br: 0.5000 0.5000 0.5000

## Properties
Its space group is C2/m (12). The calculation puts the energy at -19.6 eV/cell. The energy above the most stable polymorph in this dataset comes out at 21 kJ/mol of formula units.

[10]
The following is a PBE-GGA calculation of crystalline Tl2FeBr at its relaxed geometry, from Alexandria via LeMat-Bulk.

Cell: 9.0247 9.0247 9.0247 Å, 141.16 141.16 56.09°
Fractional positions:
Tl: 0.0334 0.6250 0.9084
Tl: 0.3750 0.2834 0.4084
Tl: 0.7166 0.1250 0.0916
Tl: 0.8750 0.9666 0.5916
Fe: 0.0000 0.0000 0.0000
Fe: 0.7500 0.2500 0.5000
Br: 0.2500 0.7500 0.5000
Br: 0.5000 0.5000 0.0000

## Properties
Its space group is I-42d (122). The calculation puts the energy at -26.4 eV/cell. The energy above the most stable polymorph in this dataset comes out at 118 kJ/mol of formula units.

[11]
The following is a PBE-GGA calculation of crystalline TlFe2Br at its relaxed geometry, from Alexandria via LeMat-Bulk.

Cell: 8.3900 8.3900 8.3900 Å, 22.45 22.45 22.45°
Fractional positions:
Tl: 0.0000 0.0000 0.0000
Fe: 0.2452 0.2452 0.2452
Fe: 0.7548 0.7548 0.7548
Br: 0.5000 0.5000 0.5000

## Properties
Its space group is R-3m (166). The calculation puts the energy at -18.5 eV/cell. The energy above the most stable polymorph in this dataset comes out at 127 kJ/mol of formula units.

[12]
The following is a PBE-GGA calculation of crystalline Tl2FeBr at its relaxed geometry, from Alexandria via LeMat-Bulk.

Cell: 10.2073 10.2073 10.2073 Å, 19.71 19.71 19.71°
Fractional positions:
Tl: 0.0000 0.0000 0.0000
Tl: 0.2418 0.2418 0.2418
Fe: 0.5049 0.5049 0.5049
Br: 0.7874 0.7874 0.7874

## Properties
Its space group is R3m (160). The calculation puts the energy at -14.4 eV/cell. The energy above the most stable polymorph in this dataset comes out at 0 kJ/mol of formula units.

Which formula does entry 7 have? Tl2FeBr

What is the energy in the tenth record? -26.4 eV/cell